1.
The following is a PBE calculation of a relaxed structure of LaPr2Mg5, from the Alexandria database.

Geometry as POSCAR:
```
LaPr2Mg5
1.0
5.344 0.000 0.000
0.000 5.344 0.000
-2.672 -2.672 7.962
La Pr Mg
1 2 5
Cartesian
0.000 0.000 0.000
2.672 2.672 3.781
0.000 0.000 4.181
2.672 2.672 0.000
2.672 0.000 6.074
0.000 2.672 6.074
0.000 2.672 1.888
2.672 0.000 1.888
```



2.
The following is a PBE calculation of a relaxed structure of Zr2Ge2Os, from the Alexandria database.

Geometry as POSCAR:
```
Zr2Ge2Os
1.0
3.947 0.000 0.000
1.973 4.956 0.140
1.973 1.772 4.631
Zr Ge Os
2 2 1
Cartesian
5.920 4.770 3.382
1.973 1.959 1.389
3.947 4.086 1.367
3.947 2.642 3.404
0.000 0.000 0.000
```



3.
LaCuRh (PBE, relaxed); energy above the most stable polymorph in this dataset = 768 meV per atom
1.0
4.667 0.000 0.000
2.334 4.042 0.000
2.334 1.347 3.811
Cu La Rh
1 1 1
Cartesian
4.667 2.695 1.905
7.001 4.042 2.858
0.000 0.000 0.000



4.
AlZn3Cr (PBE, relaxed); energy above the most stable polymorph in this dataset = 0 meV per atom
1.0
4.850 0.000 0.000
0.000 4.850 0.000
0.000 0.000 4.850
Cr Zn Al
1 3 1
Cartesian
0.000 0.000 0.000
0.000 2.425 0.000
0.000 0.000 2.425
2.425 0.000 0.000
2.425 2.425 2.425



5.
Ce6ThAl (PBE, relaxed); energy above the most stable polymorph in this dataset = 242 meV per atom
1.0
6.484 -0.457 -0.623
-2.837 5.848 -0.623
-1.350 -1.995 6.246
Ce Th Al
6 1 1
Cartesian
-0.228 -0.337 4.187
0.045 5.182 0.454
2.525 3.733 0.812
-2.496 1.427 4.546
2.253 -1.786 4.546
4.793 1.969 0.454
1.149 1.698 2.500
0.000 0.000 0.000



6.
The following is a PBE calculation of a relaxed structure of FePd, from the Alexandria database.

Geometry as POSCAR:
```
FePd
1.0
-5.479 0.799 -0.277
-0.353 -0.513 5.509
0.768 5.462 0.558
Fe Pd
4 4
Cartesian
-1.266 1.437 1.448
-1.058 3.912 4.481
-3.622 4.568 1.588
-4.182 1.580 4.064
0.000 0.000 0.000
0.208 2.475 3.033
-2.356 3.131 0.141
-2.916 0.143 2.616
```



7.
The following is a PBE calculation of a relaxed structure of NaYAlRe2, from the Alexandria database.

Geometry as POSCAR:
```
NaYAlRe2
1.0
5.040 0.000 0.000
0.000 5.484 0.000
0.000 0.000 5.040
Y Re Al Na
1 2 1 1
Cartesian
0.000 0.000 0.000
0.000 0.000 2.520
2.520 0.000 0.000
0.000 2.742 0.000
2.520 2.742 2.520
```



8.
The following is a PBE calculation of a relaxed structure of LaU4, from the Alexandria database.

Geometry as POSCAR:
```
LaU4
1.0
5.317 0.000 0.000
0.000 5.317 0.000
0.000 0.000 5.317
U La
4 1
Cartesian
0.000 0.000 0.000
2.658 0.000 2.658
0.000 2.658 2.658
2.658 2.658 0.000
2.658 2.658 2.658
```



no.,DOS(E_F) (states/eV/f.u.),E_form (kJ per mole of atoms),final energy (eV/atom)
1,7.425,-10,-2.91
2,3.166,-59,-8.12
3,3.169,26,-5.19
4,2.535,79,-2.62
5,23.134,18,-5.66
6,1.772,100,-5.79
7,5.208,212,-5.08
8,23.120,162,-8.33